Computed, not measured: crystalline ErSc2CuC at its relaxed geometry at the GGA-PBE level of DFT.

Properties
The total magnetization is 0.00 Bohr magnetons per cell. As for the formation energy: -253 meV per atom. Its density is 5.73 g/cm3. The calculation puts the raw total energy at -6.36 eV/atom.

Cell: 4.4241 4.4241 4.9242 Å, 90.00 90.00 90.00°
Atoms (fractional coordinates):
1 Er 0.0000 0.0000 0.0000
2 Sc 0.0000 0.5000 0.5000
3 Sc 0.5000 0.0000 0.5000
4 Cu 0.5000 0.5000 0.0000
5 C 0.0000 0.0000 0.5000

Computed, not measured: crystalline CuC2F at its relaxed geometry at the GGA-PBE level of DFT.

Properties
The total magnetization is 0.00 Bohr magnetons per cell. Its density is 4.91 g/cm3. The calculation puts the raw total energy at -3.83 eV/atom. For the energy relative to the lowest polymorph listed for this composition, the calculation gives 410 meV per atom. As for the formation energy (no corrections): 9.09 eV per formula unit.

Cell: 5.2443 5.2443 5.2443 Å, 90.00 90.00 90.00°
Atoms (fractional coordinates):
1 Cu 0.0000 0.0000 0.0000
2 Cu 0.0000 0.5000 0.5000
3 Cu 0.5000 0.0000 0.5000
4 Cu 0.5000 0.5000 0.0000
5 C 0.2500 0.2500 0.2500
6 C 0.2500 0.2500 0.7500
7 C 0.2500 0.7500 0.2500
8 C 0.2500 0.7500 0.7500
9 C 0.7500 0.2500 0.2500
10 C 0.7500 0.2500 0.7500
11 C 0.7500 0.7500 0.2500
12 C 0.7500 0.7500 0.7500
13 F 0.0000 0.0000 0.5000
14 F 0.0000 0.5000 0.0000
15 F 0.5000 0.0000 0.0000
16 F 0.5000 0.5000 0.5000

Computed, not measured: crystalline CuC3F at its relaxed geometry at the GGA-PBE level of DFT.

Properties
The total magnetization is 0.93 Bohr magnetons per cell. Its density is 3.45 g/cm3. The calculation puts the raw total energy at -3.93 eV/atom. For the energy relative to the lowest polymorph listed for this composition, the calculation gives 0 meV per atom. As for the formation energy (no corrections): 14.00 eV per formula unit.

Cell: 3.8492 3.8492 3.8492 Å, 90.00 90.00 90.00°
Atoms (fractional coordinates):
1 Cu 0.0000 0.0000 0.0000
2 C 0.0000 0.0000 0.5000
3 C 0.0000 0.5000 0.0000
4 C 0.5000 0.0000 0.0000
5 F 0.5000 0.5000 0.5000

Computed, not measured: crystalline CuC2F at its relaxed geometry at the GGA-PBE level of DFT.

Properties
The total magnetization is 0.00 Bohr magnetons per cell. Its density is 3.66 g/cm3. The calculation puts the raw total energy at -4.24 eV/atom. For the energy relative to the lowest polymorph listed for this composition, the calculation gives 0 meV per atom. As for the formation energy (no corrections): 7.46 eV per formula unit.

Cell: 4.4633 4.4633 9.7052 Å, 90.00 90.00 90.00°
Atoms (fractional coordinates):
1 Cu 0.0000 0.0000 0.0000
2 Cu 0.0000 0.5000 0.2500
3 Cu 0.5000 0.0000 0.7500
4 Cu 0.5000 0.5000 0.5000
5 C 0.1880 0.2500 0.1250
6 C 0.2500 0.6880 0.3750
7 C 0.2500 0.8120 0.8750
8 C 0.3120 0.2500 0.6250
9 C 0.6880 0.7500 0.6250
10 C 0.7500 0.1880 0.8750
11 C 0.7500 0.3120 0.3750
12 C 0.8120 0.7500 0.1250
13 F 0.0000 0.0000 0.5000
14 F 0.0000 0.5000 0.7500
15 F 0.5000 0.0000 0.2500
16 F 0.5000 0.5000 0.0000